A plane-wave DFT calculation with PBE with a Hubbard U was carried out for a relaxed LiFeF3 crystal.

a b c (Å): 5.6039 5.6039 5.6039
angles (deg): 119.24 119.24 91.32
Closest atoms and distances in Å follow each position.
Element x y z (fractional)
F 0.6605 0.1605 0.8211  2 Fe 2.13, 2 Li 2.34
F 0.7500 0.7500 0.0000  2 Fe 1.96
F 0.2500 0.2500 0.0000  2 Fe 1.96
F 0.1605 0.3395 0.5000  2 Fe 2.13, 2 Li 2.34
F 0.8395 0.6605 0.5000  2 Fe 2.13, 2 Li 2.34
F 0.3395 0.8395 0.1789  2 Fe 2.13, 2 Li 2.34
Li 0.2500 0.7500 0.5000  4 F 2.34
Li 0.7500 0.2500 0.5000  4 F 2.34
Fe 0.0000 0.0000 0.0000  6 F 1.96-2.13
Fe 0.5000 0.5000 0.0000  6 F 1.96-2.13

Final energy ... -5.1193 eV/atom
Space group ... No. 140
Crystal system ... tetragonal
V ... 12.58 Å³ per atom
Excess energy over the best structure of this formula in the dataset ... 0.1619 eV/atom